## Hg3Mo2 (PBE)

Data for a geometry-optimized Hg3Mo2 structure.

POSCAR file:
```
Hg3Mo2
1.0
2.331 -4.038 0.000
2.331 4.038 0.000
0.000 0.000 5.731
Mo Hg
2 3
Direct
0.333 0.667 0.907 Mo
0.667 0.333 0.093 Mo
0.000 0.000 0.000 Hg
0.667 0.333 0.607 Hg
0.333 0.667 0.393 Hg
```

For the total magnetic moment, the calculation gives 0.000 μB per cell. Its space group is P-3m1. For the formation energy, the calculation gives 303 kJ/mol of formula units. The total energy is -19.43 eV for the cell shown.